# RbSmSnTe3 GGA-PBE relaxed
# Raw formation energy: -1011 meV/atom
# Calculated total energy: -50.4 eV per cell
data_RbSmSnTe3
_chemical_formula_sum 'Rb2 Sm2 Sn2 Te6'
_cell_length_a 9.600
_cell_length_b 4.492
_cell_length_c 12.090
_cell_angle_alpha 90.00
_cell_angle_beta 109.03
_cell_angle_gamma 90.00
_space_group_name_H-M_alt 'P 1 21/m 1'
_space_group_IT_number 11
loop_
_space_group_symop_operation_xyz
'x,y,z'
'-x,-y,-z'
'-x,y+1/2,-z'
'x,-y+1/2,z'
loop_
_atom_site_label
_atom_site_fract_x
_atom_site_fract_y
_atom_site_fract_z
_atom_site_occupancy
Rb1 0.226 0.250 0.271 1
Sm1 0.364 0.750 0.844 1
Sn1 0.129 0.250 0.557 1
Te1 0.115 0.250 0.791 1
Te2 0.344 0.750 0.574 1
Te3 0.396 0.750 0.109 1

# SnPPdCl2 GGA-PBE relaxed
# Raw formation energy: 6 meV/atom
# Calculated total energy: -18.3 eV per cell
# DOS(E_F): 0.631 states/eV per atom
data_SnPPdCl2
_chemical_formula_sum 'Sn1 P1 Pd1 Cl2'
_cell_length_a 4.826
_cell_length_b 4.826
_cell_length_c 4.885
_cell_angle_alpha 90.00
_cell_angle_beta 90.00
_cell_angle_gamma 90.00
_space_group_name_H-M_alt 'P 4/m m m'
_space_group_IT_number 123
_space_group_name_Hall '-P 4 2'
loop_
_atom_site_label
_atom_site_fract_x
_atom_site_fract_y
_atom_site_fract_z
_atom_site_occupancy
Sn1 0.000 0.000 0.000 1
P1 0.500 0.500 0.000 1
Pd1 0.500 0.500 0.500 1
Cl1 0.000 0.500 0.500 1

# CoCu3Te GGA-PBE relaxed
# Raw formation energy: 809 meV/atom
# Calculated total energy: -18.5 eV per cell
# DOS(E_F): 0.940 states/eV per atom
data_CoCu3Te
_chemical_formula_sum 'Co1 Cu3 Te1'
_cell_length_a 4.469
_cell_length_b 4.469
_cell_length_c 4.469
_cell_angle_alpha 90.00
_cell_angle_beta 90.00
_cell_angle_gamma 90.00
_space_group_name_H-M_alt 'P m -3 m'
_space_group_IT_number 221
_space_group_name_Hall '-P 4 2 3'
loop_
_atom_site_label
_atom_site_fract_x
_atom_site_fract_y
_atom_site_fract_z
_atom_site_occupancy
Co1 0.000 0.000 0.000 1
Cu1 0.000 0.000 0.500 1
Te1 0.500 0.500 0.500 1

# Zr2BiAu2 GGA-PBE relaxed
# Calculated total energy: -58.4 eV per cell
# Calculated formation energy: -32.29 kJ/mol of atoms
# DOS(E_F): 0.647 states/eV per atom
data_Zr2BiAu2
_chemical_formula_sum 'Zr4 Bi2 Au4'
_cell_length_a 8.206
_cell_length_b 8.206
_cell_length_c 3.321
_cell_angle_alpha 90.00
_cell_angle_beta 90.00
_cell_angle_gamma 90.00
_space_group_name_H-M_alt 'P 4/m b m'
_space_group_IT_number 127
_space_group_name_Hall '-P 4 2ab'
loop_
_atom_site_label
_atom_site_fract_x
_atom_site_fract_y
_atom_site_fract_z
_atom_site_occupancy
Zr1 0.166 0.334 0.000 1
Bi1 0.000 0.000 0.500 1
Au1 0.126 0.626 0.500 1

# KSi2I8 GGA-PBE relaxed
# Raw formation energy: -449 meV/atom
# Calculated total energy: -58.6 eV per cell
# DOS(E_F): 0.570 states/eV per atom
data_KSi2I8
_chemical_formula_sum 'K2 Si4 I16'
_cell_length_a 14.902
_cell_length_b 11.923
_cell_length_c 7.364
_cell_angle_alpha 90.00
_cell_angle_beta 103.19
_cell_angle_gamma 90.00
_space_group_name_H-M_alt 'C 1 2/m 1'
_space_group_IT_number 12
loop_
_space_group_symop_operation_xyz
'x,y,z'
'-x,-y,-z'
'-x,y,-z'
'x,-y,z'
'x+1/2,y+1/2,z'
'-x+1/2,-y+1/2,-z'
'-x+1/2,y+1/2,-z'
'x+1/2,-y+1/2,z'
loop_
_atom_site_label
_atom_site_fract_x
_atom_site_fract_y
_atom_site_fract_z
_atom_site_occupancy
K1 0.000 0.000 0.000 1
Si1 0.219 0.000 0.686 1
I1 0.116 0.500 0.121 1
I2 0.131 0.172 0.753 1
I3 0.222 0.000 0.343 1

# Ca2Ag3Hg GGA-PBE relaxed
# Calculated total energy: -117.9 eV per cell
# Calculated formation energy: -30.25 kJ/mol of atoms
# DOS(E_F): 0.580 states/eV per atom
data_Ca2Ag3Hg
_chemical_formula_sum 'Ca16 Ag24 Hg8'
_cell_length_a 7.197
_cell_length_b 9.667
_cell_length_c 16.839
_cell_angle_alpha 90.00
_cell_angle_beta 90.00
_cell_angle_gamma 90.00
_space_group_name_H-M_alt 'F m m m'
_space_group_IT_number 69
_space_group_name_Hall '-F 2 2'
loop_
_atom_site_label
_atom_site_fract_x
_atom_site_fract_y
_atom_site_fract_z
_atom_site_occupancy
Ca1 0.249 0.000 0.000 1
Ca2 0.250 0.250 0.250 1
Ag1 0.000 0.000 0.165 1
Ag2 0.000 0.247 0.082 1
Hg1 0.000 0.000 0.333 1

# KScSb2 GGA-PBE relaxed
# Raw formation energy: 91 meV/atom
# Calculated total energy: -61.2 eV per cell
# DOS(E_F): 1.092 states/eV per atom
data_KScSb2
_chemical_formula_sum 'K4 Sc4 Sb8'
_cell_length_a 7.651
_cell_length_b 7.651
_cell_length_c 7.651
_cell_angle_alpha 90.00
_cell_angle_beta 90.00
_cell_angle_gamma 90.00
_space_group_name_H-M_alt 'F -4 3 m'
_space_group_IT_number 216
_space_group_name_Hall 'F -4 2 3'
loop_
_atom_site_label
_atom_site_fract_x
_atom_site_fract_y
_atom_site_fract_z
_atom_site_occupancy
K1 0.000 0.000 0.000 1
Sc1 0.250 0.250 0.250 1
Sb1 0.000 0.000 0.500 1
Sb2 0.250 0.250 0.750 1

# Nd8SbTe4Se3 GGA-PBE relaxed
# Raw formation energy: -1564 meV/atom
# Calculated total energy: -270.9 eV per cell
# DOS(E_F): 0.355 states/eV per atom
data_Nd8SbTe4Se3
_chemical_formula_sum 'Nd24 Sb3 Te12 Se9'
_cell_length_a 8.7695
_cell_length_b 8.7695
_cell_length_c 21.8614
_cell_angle_alpha 90.00
_cell_angle_beta 90.00
_cell_angle_gamma 120.00
_space_group_name_H-M_alt 'R -3 m'
_space_group_IT_number 166
_space_group_name_Hall '-R 3 2"'
loop_
_atom_site_label
_atom_site_fract_x
_atom_site_fract_y
_atom_site_fract_z
_atom_site_occupancy
Nd1 0.0000 0.0000 0.2393 1
Nd2 0.0110 0.5055 0.7584 1
Sb1 0.0000 0.0000 0.5000 1
Te1 0.0000 0.0000 0.0000 1
Te2 0.0000 0.5000 0.0000 1
Se1 0.0000 0.5000 0.5000 1

# LuHfTh2 GGA-PBE relaxed
# Calculated total energy: -83.5 eV per cell
# Calculated formation energy: 35.55 kJ/mol of atoms
# DOS(E_F): 1.534 states/eV per atom
data_LuHfTh2
_chemical_formula_sum 'Lu3 Hf3 Th6'
_cell_length_a 3.3560
_cell_length_b 3.3560
_cell_length_c 36.2130
_cell_angle_alpha 90.00
_cell_angle_beta 90.00
_cell_angle_gamma 120.00
_space_group_name_H-M_alt 'R -3 m'
_space_group_IT_number 166
_space_group_name_Hall '-R 3 2"'
loop_
_atom_site_label
_atom_site_fract_x
_atom_site_fract_y
_atom_site_fract_z
_atom_site_occupancy
Lu1 0.0000 0.0000 0.0000 1
Hf1 0.0000 0.0000 0.5000 1
Th1 0.0000 0.0000 0.4158 1

# RbScP2Pt4 GGA-PBE relaxed
# Calculated total energy: -48.1 eV per cell
# Calculated formation energy: -70.65 kJ/mol of atoms
# DOS(E_F): 0.403 states/eV per atom
data_RbScP2Pt4
_chemical_formula_sum 'Rb1 Sc1 P2 Pt4'
_cell_length_a 4.020
_cell_length_b 4.020
_cell_length_c 10.604
_cell_angle_alpha 90.00
_cell_angle_beta 90.00
_cell_angle_gamma 90.00
_space_group_name_H-M_alt 'P 4/m m m'
_space_group_IT_number 123
_space_group_name_Hall '-P 4 2'
loop_
_atom_site_label
_atom_site_fract_x
_atom_site_fract_y
_atom_site_fract_z
_atom_site_occupancy
Rb1 0.000 0.000 0.000 1
Sc1 0.000 0.000 0.500 1
P1 0.500 0.500 0.203 1
Pt1 0.000 0.500 0.318 1

# SbAs2HBr GGA-PBE relaxed
# Calculated total energy: -13.3 eV per cell
# DOS(E_F): 0.482 states/eV per atom
data_SbAs2HBr
_chemical_formula_sum 'Sb1 As2 H1 Br1'
_cell_length_a 5.436
_cell_length_b 5.436
_cell_length_c 5.808
_cell_angle_alpha 90.00
_cell_angle_beta 90.00
_cell_angle_gamma 90.00
_space_group_name_H-M_alt 'P 4/m m m'
_space_group_IT_number 123
_space_group_name_Hall '-P 4 2'
loop_
_atom_site_label
_atom_site_fract_x
_atom_site_fract_y
_atom_site_fract_z
_atom_site_occupancy
Sb1 0.000 0.000 0.000 1
As1 0.000 0.500 0.000 1
H1 0.500 0.500 0.500 1
Br1 0.000 0.000 0.500 1

# Ho2NpGa2Ru5 GGA-PBE relaxed
# Calculated total energy: -156.9 eV per cell
# Calculated formation energy: -37.64 kJ/mol of atoms
# DOS(E_F): 0.821 states/eV per atom
data_Ho2NpGa2Ru5
_chemical_formula_sum 'Ho4 Np2 Ga4 Ru10'
_cell_length_a 10.091
_cell_length_b 10.091
_cell_length_c 3.421
_cell_angle_alpha 90.00
_cell_angle_beta 90.00
_cell_angle_gamma 90.00
_space_group_name_H-M_alt 'P 4/m b m'
_space_group_IT_number 127
_space_group_name_Hall '-P 4 2ab'
loop_
_atom_site_label
_atom_site_fract_x
_atom_site_fract_y
_atom_site_fract_z
_atom_site_occupancy
Ho1 0.169 0.331 0.000 1
Np1 0.000 0.000 0.000 1
Ga1 0.128 0.628 0.000 1
Ru1 0.000 0.500 0.500 1
Ru2 0.067 0.802 0.500 1